The following is a PBE calculation of LaGdTh2 after structural relaxation, from the Alexandria database.

Final energy, eV per atom: -8.257
Calculated formation energy, eV per atom: 0.2052

The structure in CIF format:
```
data_LaGdTh2
_chemical_formula_sum 'La4 Gd4 Th8'
_symmetry_space_group_name_H-M 'P 1'
_symmetry_Int_Tables_number 1
_symmetry_space_group_name_Hall 'P 1'
_cell_length_a 8.098
_cell_length_b 8.098
_cell_length_c 8.098
_cell_angle_alpha 90.00
_cell_angle_beta 90.00
_cell_angle_gamma 90.00
loop_
_atom_site_label
_atom_site_fract_x
_atom_site_fract_y
_atom_site_fract_z
La1 0.000 0.000 0.000
La2 0.000 0.500 0.500
La3 0.500 0.000 0.500
La4 0.500 0.500 0.000
Gd1 0.000 0.000 0.500
Gd2 0.000 0.500 0.000
Gd3 0.500 0.000 0.000
Gd4 0.500 0.500 0.500
Th1 0.250 0.250 0.250
Th2 0.250 0.250 0.750
Th3 0.250 0.750 0.250
Th4 0.250 0.750 0.750
Th5 0.750 0.250 0.250
Th6 0.750 0.250 0.750
Th7 0.750 0.750 0.250
Th8 0.750 0.750 0.750
```

=====

The following is a PBE calculation of LaGd2Th after structural relaxation, from the Alexandria database.

Final energy, eV per atom: -10.018
Calculated formation energy, eV per atom: 0.1097

The structure in CIF format:
```
data_LaGd2Th
_chemical_formula_sum 'La3 Gd6 Th3'
_symmetry_space_group_name_H-M 'P 1'
_symmetry_Int_Tables_number 1
_symmetry_space_group_name_Hall 'P 1'
_cell_length_a 3.543
_cell_length_b 3.543
_cell_length_c 37.339
_cell_angle_alpha 90.00
_cell_angle_beta 90.00
_cell_angle_gamma 120.00
loop_
_atom_site_label
_atom_site_fract_x
_atom_site_fract_y
_atom_site_fract_z
La1 0.000 0.000 0.000
La2 0.333 0.667 0.667
La3 0.667 0.333 0.333
Gd1 0.000 0.000 0.092
Gd2 0.000 0.000 0.908
Gd3 0.333 0.667 0.575
Gd4 0.333 0.667 0.759
Gd5 0.667 0.333 0.241
Gd6 0.667 0.333 0.425
Th1 0.000 0.000 0.500
Th2 0.333 0.667 0.167
Th3 0.667 0.333 0.833
```

=====

The following is a PBE calculation of La2GdTh after structural relaxation, from the Alexandria database.

Final energy, eV per atom: -7.809
Calculated formation energy, eV per atom: 0.0295

The structure in CIF format:
```
data_La2GdTh
_chemical_formula_sum 'La6 Gd3 Th3'
_symmetry_space_group_name_H-M 'P 1'
_symmetry_Int_Tables_number 1
_symmetry_space_group_name_Hall 'P 1'
_cell_length_a 3.638
_cell_length_b 3.638
_cell_length_c 35.910
_cell_angle_alpha 90.00
_cell_angle_beta 90.00
_cell_angle_gamma 120.00
loop_
_atom_site_label
_atom_site_fract_x
_atom_site_fract_y
_atom_site_fract_z
La1 0.000 0.000 0.248
La2 0.000 0.000 0.752
La3 0.333 0.667 0.419
La4 0.333 0.667 0.914
La5 0.667 0.333 0.086
La6 0.667 0.333 0.581
Gd1 0.000 0.000 0.000
Gd2 0.333 0.667 0.667
Gd3 0.667 0.333 0.333
Th1 0.000 0.000 0.500
Th2 0.333 0.667 0.167
Th3 0.667 0.333 0.833
```

=====

> calculated formation energy of number 3 (La2GdTh)?

0.0295 eV per atom